First-principles (PBE) data for a relaxed PmPr2Tl crystal, as listed in the Alexandria database.

Cell: 3.7775 3.7775 11.3070 Å, 80.38 80.38 60.00°
Last column: nearest neighbours and their distance in Å.
Sites, in units of the cell vectors:
Pm1 0.5000 0.5000 0.5000  6 Pr 3.68, 6 Pm 3.78
Pr1 0.0776 0.0776 0.7671  3 Tl 3.38, 3 Pm 3.68, 6 Pr 3.78
Pr2 0.2558 0.2558 0.2326  3 Tl 3.38, 3 Pm 3.68, 6 Pr 3.78
Tl1 0.6666 0.6666 0.0003  6 Pr 3.38, 6 Tl 3.78

Results
E above lowest polymorph ... 111 meV/atom
Formation energy ... -9.2 kJ per mole of atoms

=====

First-principles (PBE) data for a relaxed Pm3Pr2Tl crystal, as listed in the Alexandria database.

Cell: 6.9507 6.6388 9.4659 Å, 99.25 111.54 90.00°
Last column: nearest neighbours and their distance in Å.
Sites, in units of the cell vectors:
Pm1 0.7703 0.2500 0.0000  4 Tl 3.33-3.51, 2 Pr 3.47, 2 Pm 3.54
Pm2 0.2297 0.7500 0.0000  4 Tl 3.33-3.51, 2 Pr 3.47, 2 Pm 3.54
Pm3 0.0527 0.0372 0.3300  1 Tl 3.38, 5 Pr 3.40-3.65, 4 Pm 3.54-3.67
Pm4 0.7227 0.4628 0.6700  1 Tl 3.38, 5 Pr 3.40-3.65, 4 Pm 3.54-3.67
Pm5 0.2773 0.5372 0.3300  1 Tl 3.38, 5 Pr 3.40-3.65, 4 Pm 3.54-3.67
Pm6 0.9473 0.9628 0.6700  1 Tl 3.38, 5 Pr 3.40-3.65, 4 Pm 3.54-3.67
Pr1 0.7616 0.5753 0.3233  1 Tl 3.37, 6 Pm 3.40-3.65, 2 Pr 3.60
Pr2 0.5616 0.0753 0.3233  1 Tl 3.37, 6 Pm 3.40-3.65, 2 Pr 3.60
Pr3 0.4384 0.9247 0.6767  1 Tl 3.37, 6 Pm 3.40-3.65, 2 Pr 3.60
Pr4 0.2384 0.4247 0.6767  1 Tl 3.37, 6 Pm 3.40-3.65, 2 Pr 3.60
Tl1 0.7240 0.7500 0.0000  6 Pm 3.33-3.51, 2 Pr 3.37
Tl2 0.2760 0.2500 0.0000  6 Pm 3.33-3.51, 2 Pr 3.37

Results
E above lowest polymorph ... 38 meV/atom
Formation energy ... -6.5 kJ per mole of atoms

=====

First-principles (PBE) data for a relaxed Pm4Pr3Tl4 crystal, as listed in the Alexandria database.

Cell: 3.8183 9.6811 10.9896 Å, 116.13 100.00 90.00°
Last column: nearest neighbours and their distance in Å.
Sites, in units of the cell vectors:
Pm1 0.3360 0.1518 0.6721  4 Tl 3.30-3.33, 1 Pm 3.57
Pm2 0.6640 0.4797 0.3279  4 Tl 3.30-3.33, 1 Pm 3.57
Pm3 0.6640 0.8482 0.3279  4 Tl 3.30-3.33, 1 Pm 3.57
Pm4 0.3360 0.5203 0.6721  4 Tl 3.30-3.33, 1 Pm 3.57
Pr1 0.0969 0.0969 0.1938  6 Tl 3.23-3.42
Pr2 0.9031 0.9031 0.8062  6 Tl 3.23-3.42
Pr3 0.0000 0.5000 0.0000  4 Tl 3.31
Tl1 0.2683 0.7683 0.5366  2 Pr 3.23, 6 Pm 3.30-3.33
Tl2 0.7317 0.2317 0.4634  2 Pr 3.23, 6 Pm 3.30-3.33
Tl3 0.5000 0.7793 0.0000  2 Pm 3.31, 6 Pr 3.31-3.42
Tl4 0.5000 0.2207 0.0000  2 Pm 3.31, 6 Pr 3.31-3.42

Results
Formation energy ... -24.0 kJ per mole of atoms

=====

First-principles (PBE) data for a relaxed Pm7PrTl4 crystal, as listed in the Alexandria database.

Cell: 5.8902 9.5009 8.0035 Å, 73.88 68.41 71.94°
Last column: nearest neighbours and their distance in Å.
Sites, in units of the cell vectors:
Pm1 0.7954 0.8803 0.5288  3 Pm 3.41-3.63, 4 Tl 3.41-3.58
Pm2 0.2046 0.1197 0.4712  3 Pm 3.41-3.63, 4 Tl 3.41-3.58
Pm3 0.0616 0.6053 0.2715  3 Tl 3.25-3.34, 3 Pm 3.41-3.58
Pm4 0.9384 0.3947 0.7285  3 Tl 3.25-3.34, 3 Pm 3.41-3.58
Pm5 0.2763 0.6609 0.7866  4 Tl 3.07-3.22
Pm6 0.5000 0.0000 0.0000  2 Pr 2.95, 4 Tl 3.08-3.22
Pm7 0.7237 0.3391 0.2134  4 Tl 3.07-3.22
Pr1 0.0000 0.0000 0.0000  2 Pm 2.95
Tl1 0.5577 0.2526 0.6320  4 Pm 3.07-3.34, 1 Tl 3.26
Tl2 0.4423 0.7474 0.3680  4 Pm 3.07-3.34, 1 Tl 3.26
Tl3 0.6871 0.6672 0.9587  6 Pm 3.08-3.41, 1 Tl 3.26
Tl4 0.3129 0.3328 0.0413  6 Pm 3.08-3.41, 1 Tl 3.26

Results
Formation energy ... -6.9 kJ per mole of atoms

=====

First-principles (PBE) data for a relaxed Pm8PrTl6 crystal, as listed in the Alexandria database.

Cell: 9.3507 9.3507 8.5336 Å, 56.78 56.78 60.00°
Last column: nearest neighbours and their distance in Å.
Sites, in units of the cell vectors:
Pm1 0.5570 0.2205 0.3346  5 Tl 3.22-3.39
Pm2 0.7795 0.1120 0.6654  5 Tl 3.22-3.39
Pm3 0.1120 0.4430 0.6654  5 Tl 3.22-3.39
Pm4 0.6672 0.6672 0.9984  6 Tl 3.32
Pm5 0.3328 0.3328 0.0016  6 Tl 3.32
Pm6 0.8880 0.5570 0.3346  5 Tl 3.22-3.39
Pm7 0.2205 0.8880 0.3346  5 Tl 3.22-3.39
Pm8 0.4430 0.7795 0.6654  5 Tl 3.22-3.39
Pr1 0.0000 0.0000 0.0000  6 Tl 3.36
Tl1 0.3961 0.0598 0.8211  7 Pm 3.22-3.39, 1 Pr 3.36
Tl2 0.9402 0.2769 0.1789  7 Pm 3.22-3.39, 1 Pr 3.36
Tl3 0.2769 0.6039 0.1789  7 Pm 3.22-3.39, 1 Pr 3.36
Tl4 0.7231 0.3961 0.8211  7 Pm 3.22-3.39, 1 Pr 3.36
Tl5 0.0598 0.7231 0.8211  7 Pm 3.22-3.39, 1 Pr 3.36
Tl6 0.6039 0.9402 0.1789  7 Pm 3.22-3.39, 1 Pr 3.36

Results
Formation energy ... -15.8 kJ per mole of atoms

=====

First-principles (PBE) data for a relaxed Pm5PrTl6 crystal, as listed in the Alexandria database.

Cell: 5.5212 7.7199 8.7513 Å, 90.00 71.24 90.00°
Last column: nearest neighbours and their distance in Å.
Sites, in units of the cell vectors:
Pr1 0.0000 0.0000 0.0000  8 Tl 3.38-3.40
Tl1 0.8320 0.7480 0.3358  7 Pm 3.36-3.38, 1 Pr 3.40
Tl2 0.8321 0.2520 0.3358  7 Pm 3.36-3.38, 1 Pr 3.40
Tl3 0.5000 0.2517 0.0000  6 Pm 3.35-3.38, 2 Pr 3.38
Tl4 0.5000 0.7483 0.0000  6 Pm 3.35-3.38, 2 Pr 3.38
Tl5 0.1679 0.7480 0.6642  7 Pm 3.36-3.38, 1 Pr 3.40
Tl6 0.1680 0.2520 0.6642  7 Pm 3.36-3.38, 1 Pr 3.40
Pm1 0.6655 0.5000 0.6689  8 Tl 3.35-3.36
Pm2 0.3331 0.0000 0.3336  8 Tl 3.36-3.38
Pm3 0.0000 0.5000 0.0000  8 Tl 3.36-3.38
Pm4 0.6669 0.0000 0.6664  8 Tl 3.36-3.38
Pm5 0.3345 0.5000 0.3311  8 Tl 3.35-3.36

Results
Formation energy ... -37.5 kJ per mole of atoms

=====

First-principles (PBE) data for a relaxed Pm4PrTl2 crystal, as listed in the Alexandria database.

Cell: 3.5760 7.9345 7.9345 Å, 90.00 90.00 90.00°
Last column: nearest neighbours and their distance in Å.
Sites, in units of the cell vectors:
Pm1 0.0000 0.7106 0.7106  1 Pr 3.25, 4 Pm 3.34-3.58, 4 Tl 3.36
Pm2 0.0000 0.2894 0.2894  1 Pr 3.25, 4 Pm 3.34-3.58, 4 Tl 3.36
Pm3 0.0000 0.7106 0.2894  1 Pr 3.25, 4 Pm 3.34-3.58, 4 Tl 3.36
Pm4 0.0000 0.2894 0.7106  1 Pr 3.25, 4 Pm 3.34-3.58, 4 Tl 3.36
Pr1 0.0000 0.0000 0.0000  4 Pm 3.25, 2 Pr 3.58
Tl1 0.5000 0.0000 0.5000  8 Pm 3.36, 2 Tl 3.58
Tl2 0.5000 0.5000 0.0000  8 Pm 3.36, 2 Tl 3.58

Results
E above lowest polymorph ... 0 meV/atom
Formation energy ... 1.8 kJ per mole of atoms

=====

First-principles (PBE) data for a relaxed Pm8Pr6Tl crystal, as listed in the Alexandria database.

Cell: 6.6405 9.5613 9.5613 Å, 120.00 90.00 90.00°
Last column: nearest neighbours and their distance in Å.
Sites, in units of the cell vectors:
Pm1 0.8176 0.0405 0.2658  1 Tl 3.17, 3 Pm 3.39-3.45, 1 Pr 3.42
Pm2 0.8176 0.7342 0.7747  1 Tl 3.17, 3 Pm 3.39-3.45, 1 Pr 3.42
Pm3 0.8176 0.2253 0.9595  1 Tl 3.17, 3 Pm 3.39-3.45, 1 Pr 3.42
Pm4 0.1824 0.9595 0.7342  1 Tl 3.17, 3 Pm 3.39-3.45, 1 Pr 3.42
Pm5 0.1824 0.2658 0.2253  1 Tl 3.17, 3 Pm 3.39-3.45, 1 Pr 3.42
Pm6 0.1824 0.7747 0.0405  1 Tl 3.17, 3 Pm 3.39-3.45, 1 Pr 3.42
Pm7 0.8582 0.3333 0.6667  3 Pm 3.45, 6 Pr 3.82-3.84
Pm8 0.1418 0.6667 0.3333  3 Pm 3.45, 6 Pr 3.82-3.84
Pr1 0.6734 0.6444 0.0916  1 Pr 3.34, 5 Pm 3.42-3.72
Pr2 0.6734 0.9084 0.5529  1 Pr 3.34, 5 Pm 3.42-3.72
Pr3 0.6734 0.4471 0.3556  1 Pr 3.34, 5 Pm 3.42-3.72
Pr4 0.3266 0.3556 0.9084  1 Pr 3.34, 5 Pm 3.42-3.72
Pr5 0.3266 0.0916 0.4471  1 Pr 3.34, 5 Pm 3.42-3.72
Pr6 0.3266 0.5529 0.6444  1 Pr 3.34, 5 Pm 3.42-3.72
Tl1 0.5000 0.0000 0.0000  6 Pm 3.17

Results
Formation energy ... 6.0 kJ per mole of atoms

=====

First-principles (PBE) data for a relaxed PmPrTl4 crystal, as listed in the Alexandria database.

Cell: 6.2689 6.2689 6.2689 Å, 60.00 60.00 60.00°
Last column: nearest neighbours and their distance in Å.
Sites, in units of the cell vectors:
Pr1 0.2500 0.2500 0.2500  12 Tl 3.68, 4 Pm 3.84
Tl1 0.6250 0.6250 0.1249  6 Tl 3.13-3.14
Tl2 0.6250 0.1249 0.6250  6 Tl 3.13-3.14
Tl3 0.6250 0.6250 0.6250  6 Tl 3.13-3.14
Tl4 0.1249 0.6250 0.6250  6 Tl 3.13-3.14
Pm1 0.0000 0.0000 0.0000  12 Tl 3.68, 4 Pr 3.84

Results
E above lowest polymorph ... 141 meV/atom
Formation energy ... -14.8 kJ per mole of atoms

=====

First-principles (PBE) data for a relaxed PmPrTl crystal, as listed in the Alexandria database.

Cell: 7.8695 7.8695 6.8709 Å, 90.00 90.00 152.11°
Last column: nearest neighbours and their distance in Å.
Sites, in units of the cell vectors:
Pr1 0.1215 0.7432 0.7500  4 Tl 3.26-3.53
Pr2 0.7432 0.1215 0.2500  4 Tl 3.26-3.53
Tl1 0.0696 0.7951 0.2500  4 Pr 3.26-3.53, 4 Pm 3.31
Tl2 0.7951 0.0696 0.7500  4 Pr 3.26-3.53, 4 Pm 3.31
Pm1 0.4323 0.4323 0.0000  4 Tl 3.31, 2 Pm 3.44
Pm2 0.4323 0.4323 0.5000  4 Tl 3.31, 2 Pm 3.44

Results
E above lowest polymorph ... 69 meV/atom
Formation energy ... -19.2 kJ per mole of atoms

=====

First-principles (PBE) data for a relaxed Pm2PrTl crystal, as listed in the Alexandria database.

Cell: 3.7619 3.7619 11.2096 Å, 80.34 80.34 60.00°
Last column: nearest neighbours and their distance in Å.
Sites, in units of the cell vectors:
Pm1 0.0763 0.0763 0.7711  3 Tl 3.33, 3 Pr 3.68
Pm2 0.2573 0.2573 0.2282  3 Tl 3.32, 3 Pr 3.70
Pr1 0.4999 0.4999 0.5004  6 Pm 3.68-3.70, 6 Pr 3.76
Tl1 0.6666 0.6666 0.0002  6 Pm 3.32-3.33

Results
E above lowest polymorph ... 101 meV/atom
Formation energy ... -9.9 kJ per mole of atoms

=====

First-principles (PBE) data for a relaxed Pm3Pr3Tl5 crystal, as listed in the Alexandria database.

Cell: 5.7736 9.4367 9.4367 Å, 120.00 90.00 90.00°
Last column: nearest neighbours and their distance in Å.
Sites, in units of the cell vectors:
Pm1 0.5000 0.6967 0.6967  4 Tl 3.01-3.30
Pm2 0.5000 0.0000 0.3033  4 Tl 3.01-3.30
Pm3 0.5000 0.3033 0.0000  4 Tl 3.01-3.30
Pr1 0.0000 0.4455 0.4455  2 Tl 3.08
Pr2 0.0000 0.5545 0.0000  2 Tl 3.08
Pr3 0.0000 0.0000 0.5545  2 Tl 3.08
Tl1 0.5000 0.3333 0.6667  3 Tl 3.15, 3 Pm 3.30
Tl2 0.5000 0.6667 0.3333  3 Tl 3.15, 3 Pm 3.30
Tl3 0.5000 0.3329 0.3329  2 Pm 3.01, 2 Pr 3.08, 2 Tl 3.15
Tl4 0.5000 0.0000 0.6671  2 Pm 3.01, 2 Pr 3.08, 2 Tl 3.15
Tl5 0.5000 0.6671 0.0000  2 Pm 3.01, 2 Pr 3.08, 2 Tl 3.15

Results
Formation energy ... 22.9 kJ per mole of atoms